Compound: Cs2LiMgAs2
Source: Alexandria via LeMat-Bulk
Functional: PBE
Structure: optimized geometry

Geometry as extended XYZ:
```
12
Lattice="-3.350 8.600 3.356 3.350 -8.600 3.356 3.350 8.600 -3.356" Properties=species:S:1:pos:R:3 pbc="T T T"
Cs 1.589 2.918 0.000
Cs 1.589 -2.918 3.356
Cs 1.761 11.518 0.000
Cs 1.761 5.682 3.356
Li 0.000 0.000 1.678
Li 0.000 0.000 5.033
Mg 3.350 0.000 1.678
Mg 0.000 8.600 1.678
As 4.988 1.378 0.000
As 1.638 7.222 0.000
As 1.712 1.378 3.356
As -1.638 7.222 3.356
```

Values from the calculation:
Energy of formation from the pure elements in eV/atom: -0.519
DOS(E_F) in states/eV/f.u.: 4.979